VASP calculation (PBE with a Hubbard U) on crystalline VTe2MoO at its relaxed geometry.

Cell: 5.2685 5.2685 5.2639 Å, 90.00 90.00 90.00°
With the nearest neighbours (Å) after each atom.
Fractional positions:
V 0.0000 0.0000 0.0000  2 Mo 2.63
Te 0.0000 0.5000 0.5000  2 Mo 2.63
Te 0.5000 0.0000 0.5000  2 Mo 2.63
Mo 0.0000 0.0000 0.5000  2 V 2.63, 4 Te 2.63
O 0.5000 0.5000 0.0000  8 Te 3.72, 4 V 3.73

Calculated values
* space-group type: P4/mmm (123)
* energy: -18.47 eV/f.u.